(1)
Compound: Sr2AlOs
Source: Alexandria via LeMat-Bulk
Functional: PBE-GGA
Structure: relaxed

Geometry as extended XYZ:
```
4
Lattice="3.480 0.000 0.000 0.000 3.480 0.000 0.000 0.000 9.088" Properties=species:S:1:pos:R:3 pbc="T T T"
Sr 0.000 0.000 0.000
Sr 1.740 1.740 3.777
Al 0.000 0.000 6.034
Os 1.740 1.740 6.885
```

Calculated values
V ... 110.08 Å³ per cell
SG ... No. 99
Energy ... -4.481 eV per atom
Energy of formation from the pure elements ... 103 meV per atom

(2)
Compound: LiTlP2S
Source: Alexandria via LeMat-Bulk
Functional: PBE-GGA
Structure: relaxed

Geometry as extended XYZ:
```
5
Lattice="4.641 0.000 0.000 0.000 4.641 0.000 0.000 0.000 4.565" Properties=species:S:1:pos:R:3 pbc="T T T"
Li 0.000 0.000 0.000
Tl 2.320 2.320 2.283
P 0.000 2.320 0.000
P 2.320 0.000 0.000
S 0.000 0.000 2.283
```

Calculated values
Polymorph energy (0 for the lowest one) ... 0.0 meV/atom
V ... 98.32 Å³ per cell
SG ... No. 123
E_form (uncorrected) ... 0.595 eV per atom
Energy ... -3.250 eV per atom

What is the formula in the first record?
Sr2AlOs

Copy entry 2 word for word.
Compound: LiTlP2S
Source: Alexandria via LeMat-Bulk
Functional: PBE-GGA
Structure: relaxed

Geometry as extended XYZ:
```
5
Lattice="4.641 0.000 0.000 0.000 4.641 0.000 0.000 0.000 4.565" Properties=species:S:1:pos:R:3 pbc="T T T"
Li 0.000 0.000 0.000
Tl 2.320 2.320 2.283
P 0.000 2.320 0.000
P 2.320 0.000 0.000
S 0.000 0.000 2.283
```

Calculated values
Polymorph energy (0 for the lowest one) ... 0.0 meV/atom
V ... 98.32 Å³ per cell
SG ... No. 123
E_form (uncorrected) ... 0.595 eV per atom
Energy ... -3.250 eV per atom

energy of number 1 (Sr2AlOs)?
-4.481 eV per atom